! NpTl2Cl7, relaxed, DFT PBE; values from VASP
&SYSTEM
  ibrav = 0, nat = 20, ntyp = 3
/
ATOMIC_SPECIES
Np 237.00 Np.upf
Tl 204.38 Tl.upf
Cl 35.45 Cl.upf
CELL_PARAMETERS angstrom
8.701 -4.229 0.000
8.701 4.229 0.000
-7.895 0.000 9.035
ATOMIC_POSITIONS crystal
Np 0.120 0.880 0.750
Np 0.880 0.120 0.250
Tl 0.242 0.369 0.196
Tl 0.369 0.242 0.696
Tl 0.631 0.758 0.304
Tl 0.758 0.631 0.804
Cl 0.014 0.659 0.707
Cl 0.033 0.731 0.116
Cl 0.069 0.756 0.479
Cl 0.244 0.931 0.021
Cl 0.269 0.967 0.384
Cl 0.341 0.986 0.793
Cl 0.429 0.571 0.750
Cl 0.571 0.429 0.250
Cl 0.659 0.014 0.207
Cl 0.731 0.033 0.616
Cl 0.756 0.069 0.979
Cl 0.931 0.244 0.521
Cl 0.967 0.269 0.884
Cl 0.986 0.341 0.293
! E_form (uncorrected) in meV/atom: -1254
! Crystal system: monoclinic

---

! NpTl2Cl6, relaxed, DFT PBE; values from VASP
&SYSTEM
  ibrav = 0, nat = 18, ntyp = 3
/
ATOMIC_SPECIES
Np 237.00 Np.upf
Tl 204.38 Tl.upf
Cl 35.45 Cl.upf
CELL_PARAMETERS angstrom
7.454 0.000 0.000
0.000 8.236 0.000
-6.500 0.000 10.417
ATOMIC_POSITIONS crystal
Np 0.000 0.000 0.000
Np 0.000 0.500 0.500
Tl 0.297 0.086 0.760
Tl 0.297 0.414 0.260
Tl 0.703 0.586 0.740
Tl 0.703 0.914 0.240
Cl 0.111 0.048 0.238
Cl 0.111 0.452 0.738
Cl 0.226 0.735 0.066
Cl 0.226 0.765 0.566
Cl 0.332 0.167 0.042
Cl 0.332 0.333 0.542
Cl 0.668 0.667 0.458
Cl 0.668 0.833 0.958
Cl 0.774 0.235 0.434
Cl 0.774 0.265 0.934
Cl 0.889 0.548 0.262
Cl 0.889 0.952 0.762
! E_form (uncorrected) in meV/atom: -1418
! Crystal system: monoclinic
! Offset from the most stable computed form in kJ/mol of atoms: 0.0

---

! NpTl2Cl6, relaxed, DFT PBE; values from VASP
&SYSTEM
  ibrav = 0, nat = 9, ntyp = 3
/
ATOMIC_SPECIES
Np 237.00 Np.upf
Tl 204.38 Tl.upf
Cl 35.45 Cl.upf
CELL_PARAMETERS angstrom
6.457 -3.727 0.000
6.457 3.727 0.000
-1.776 0.000 6.688
ATOMIC_POSITIONS crystal
Np 0.000 0.000 0.000
Tl 0.290 0.290 0.781
Tl 0.710 0.710 0.219
Cl 0.153 0.660 0.166
Cl 0.167 0.167 0.306
Cl 0.340 0.847 0.834
Cl 0.660 0.153 0.166
Cl 0.833 0.833 0.694
Cl 0.847 0.340 0.834
! E_form (uncorrected) in meV/atom: -1404
! Crystal system: monoclinic
! Offset from the most stable computed form in kJ/mol of atoms: 1.4

---

! NpTl3Cl6, relaxed, DFT PBE; values from VASP
&SYSTEM
  ibrav = 0, nat = 10, ntyp = 3
/
ATOMIC_SPECIES
Np 237.00 Np.upf
Tl 204.38 Tl.upf
Cl 35.45 Cl.upf
CELL_PARAMETERS angstrom
0.000 5.718 7.096
4.601 0.000 7.096
4.601 5.718 0.000
ATOMIC_POSITIONS crystal
Np 0.000 0.000 0.000
Tl 0.250 0.250 0.250
Tl 0.500 0.500 0.500
Tl 0.750 0.750 0.750
Cl 0.080 0.654 0.920
Cl 0.233 0.767 0.233
Cl 0.346 0.920 0.654
Cl 0.654 0.080 0.346
Cl 0.767 0.233 0.767
Cl 0.920 0.346 0.080
! E_form (uncorrected) in meV/atom: -1251
! Crystal system: orthorhombic
! Offset from the most stable computed form in kJ/mol of atoms: 6.7

---

! NpTlCl6, relaxed, DFT PBE; values from VASP
&SYSTEM
  ibrav = 0, nat = 16, ntyp = 3
/
ATOMIC_SPECIES
Np 237.00 Np.upf
Tl 204.38 Tl.upf
Cl 35.45 Cl.upf
CELL_PARAMETERS angstrom
7.054 0.000 0.000
-3.527 6.109 0.000
0.000 0.000 13.197
ATOMIC_POSITIONS crystal
Np 0.000 0.000 0.000
Np 0.000 0.000 0.500
Tl 0.333 0.667 0.250
Tl 0.667 0.333 0.750
Cl 0.037 0.309 0.611
Cl 0.037 0.728 0.889
Cl 0.272 0.309 0.889
Cl 0.272 0.963 0.611
Cl 0.309 0.037 0.111
Cl 0.309 0.272 0.389
Cl 0.691 0.728 0.611
Cl 0.691 0.963 0.889
Cl 0.728 0.037 0.389
Cl 0.728 0.691 0.111
Cl 0.963 0.272 0.111
Cl 0.963 0.691 0.389
! E_form (uncorrected) in meV/atom: -1383
! Crystal system: trigonal

---

! Np2TlCl8, relaxed, DFT PBE; values from VASP
&SYSTEM
  ibrav = 0, nat = 11, ntyp = 3
/
ATOMIC_SPECIES
Np 237.00 Np.upf
Tl 204.38 Tl.upf
Cl 35.45 Cl.upf
CELL_PARAMETERS angstrom
4.271 -6.372 0.000
4.271 6.372 0.000
-0.943 0.000 5.376
ATOMIC_POSITIONS crystal
Np 0.179 0.821 0.000
Np 0.821 0.179 0.000
Tl 0.500 0.500 0.500
Cl 0.098 0.098 0.275
Cl 0.171 0.447 0.925
Cl 0.237 0.763 0.500
Cl 0.447 0.171 0.925
Cl 0.553 0.829 0.075
Cl 0.763 0.237 0.500
Cl 0.829 0.553 0.075
Cl 0.902 0.902 0.725
! E_form (uncorrected) in meV/atom: -1561
! Crystal system: monoclinic

---

! NpTl6Cl12, relaxed, DFT PBE; values from VASP
&SYSTEM
  ibrav = 0, nat = 19, ntyp = 3
/
ATOMIC_SPECIES
Np 237.00 Np.upf
Tl 204.38 Tl.upf
Cl 35.45 Cl.upf
CELL_PARAMETERS angstrom
6.876 3.970 4.320
-6.876 3.970 4.320
0.000 -7.939 4.320
ATOMIC_POSITIONS crystal
Np 0.000 0.000 0.000
Tl 0.160 0.350 0.622
Tl 0.350 0.622 0.160
Tl 0.378 0.840 0.650
Tl 0.622 0.160 0.350
Tl 0.650 0.378 0.840
Tl 0.840 0.650 0.378
Cl 0.012 0.937 0.722
Cl 0.063 0.278 0.988
Cl 0.176 0.576 0.416
Cl 0.278 0.988 0.063
Cl 0.416 0.176 0.576
Cl 0.424 0.584 0.824
Cl 0.576 0.416 0.176
Cl 0.584 0.824 0.424
Cl 0.722 0.012 0.937
Cl 0.824 0.424 0.584
Cl 0.937 0.722 0.012
Cl 0.988 0.063 0.278
! E_form (uncorrected) in meV/atom: -1100
! Crystal system: trigonal

---

! NpTl3Cl6, relaxed, DFT PBE; values from VASP
&SYSTEM
  ibrav = 0, nat = 20, ntyp = 3
/
ATOMIC_SPECIES
Np 237.00 Np.upf
Tl 204.38 Tl.upf
Cl 35.45 Cl.upf
CELL_PARAMETERS angstrom
7.592 0.000 0.000
0.000 8.257 0.000
-7.192 0.000 11.000
ATOMIC_POSITIONS crystal
Np 0.000 0.000 0.000
Np 0.000 0.500 0.500
Tl 0.286 0.072 0.759
Tl 0.286 0.428 0.259
Tl 0.500 0.000 0.500
Tl 0.500 0.500 0.000
Tl 0.714 0.572 0.741
Tl 0.714 0.928 0.241
Cl 0.093 0.063 0.229
Cl 0.093 0.437 0.729
Cl 0.236 0.722 0.076
Cl 0.236 0.778 0.576
Cl 0.350 0.171 0.055
Cl 0.350 0.329 0.555
Cl 0.650 0.671 0.445
Cl 0.650 0.829 0.945
Cl 0.764 0.222 0.424
Cl 0.764 0.278 0.924
Cl 0.907 0.563 0.271
Cl 0.907 0.937 0.771
! E_form (uncorrected) in meV/atom: -1321
! Crystal system: monoclinic
! Offset from the most stable computed form in kJ/mol of atoms: 0.0

---

! NpTl3Cl8, relaxed, DFT PBE; values from VASP
&SYSTEM
  ibrav = 0, nat = 12, ntyp = 3
/
ATOMIC_SPECIES
Np 237.00 Np.upf
Tl 204.38 Tl.upf
Cl 35.45 Cl.upf
CELL_PARAMETERS angstrom
7.158 0.000 0.000
0.000 7.158 0.000
0.000 0.000 7.158
ATOMIC_POSITIONS crystal
Np 0.000 0.000 0.000
Tl 0.000 0.500 0.500
Tl 0.500 0.000 0.500
Tl 0.500 0.500 0.000
Cl 0.221 0.221 0.221
Cl 0.221 0.221 0.779
Cl 0.221 0.779 0.221
Cl 0.221 0.779 0.779
Cl 0.779 0.221 0.221
Cl 0.779 0.221 0.779
Cl 0.779 0.779 0.221
Cl 0.779 0.779 0.779
! E_form (uncorrected) in meV/atom: -1177
! Crystal system: cubic
! Offset from the most stable computed form in kJ/mol of atoms: 0.5

---

! Np2TlCl6, relaxed, DFT PBE; values from VASP
&SYSTEM
  ibrav = 0, nat = 9, ntyp = 3
/
ATOMIC_SPECIES
Np 237.00 Np.upf
Tl 204.38 Tl.upf
Cl 35.45 Cl.upf
CELL_PARAMETERS angstrom
7.231 0.000 0.000
-3.616 6.262 0.000
0.000 0.000 6.974
ATOMIC_POSITIONS crystal
Np 0.333 0.667 0.000
Np 0.667 0.333 0.000
Tl 0.000 0.000 0.500
Cl 0.000 0.368 0.224
Cl 0.000 0.632 0.776
Cl 0.368 0.000 0.224
Cl 0.368 0.368 0.776
Cl 0.632 0.000 0.776
Cl 0.632 0.632 0.224
! E_form (uncorrected) in meV/atom: -1483
! Crystal system: trigonal

---

! Np2TlCl7, relaxed, DFT PBE; values from VASP
&SYSTEM
  ibrav = 0, nat = 10, ntyp = 3
/
ATOMIC_SPECIES
Np 237.00 Np.upf
Tl 204.38 Tl.upf
Cl 35.45 Cl.upf
CELL_PARAMETERS angstrom
7.027 -4.367 0.000
7.027 4.367 0.000
-0.837 0.000 5.386
ATOMIC_POSITIONS crystal
Np 0.197 0.197 0.010
Np 0.803 0.803 0.990
Tl 0.500 0.500 0.500
Cl 0.000 0.000 0.000
Cl 0.170 0.554 0.077
Cl 0.219 0.219 0.515
Cl 0.446 0.830 0.923
Cl 0.554 0.170 0.077
Cl 0.781 0.781 0.485
Cl 0.830 0.446 0.923
! E_form (uncorrected) in meV/atom: -1563
! Crystal system: monoclinic

---

! NpTl2Cl8, relaxed, DFT PBE; values from VASP
&SYSTEM
  ibrav = 0, nat = 11, ntyp = 3
/
ATOMIC_SPECIES
Np 237.00 Np.upf
Tl 204.38 Tl.upf
Cl 35.45 Cl.upf
CELL_PARAMETERS angstrom
6.769 -5.126 0.000
6.769 5.126 0.000
-1.886 0.000 5.808
ATOMIC_POSITIONS crystal
Np 0.000 0.000 0.000
Tl 0.381 0.381 0.673
Tl 0.619 0.619 0.327
Cl 0.066 0.721 0.744
Cl 0.124 0.124 0.780
Cl 0.279 0.934 0.256
Cl 0.398 0.398 0.193
Cl 0.602 0.602 0.807
Cl 0.721 0.066 0.744
Cl 0.876 0.876 0.220
Cl 0.934 0.279 0.256
! E_form (uncorrected) in meV/atom: -1160
! Crystal system: monoclinic
! Offset from the most stable computed form in kJ/mol of atoms: 0.0

---

! NpTlCl3, relaxed, DFT PBE; values from VASP
&SYSTEM
  ibrav = 0, nat = 5, ntyp = 3
/
ATOMIC_SPECIES
Np 237.00 Np.upf
Tl 204.38 Tl.upf
Cl 35.45 Cl.upf
CELL_PARAMETERS angstrom
5.502 0.000 0.000
0.000 5.502 0.000
0.000 0.000 5.502
ATOMIC_POSITIONS crystal
Np 0.000 0.000 0.000
Tl 0.500 0.500 0.500
Cl 0.000 0.000 0.500
Cl 0.000 0.500 0.000
Cl 0.500 0.000 0.000
! E_form (uncorrected) in meV/atom: -1156
! Crystal system: cubic

---

! NpTl2Cl8, relaxed, DFT PBE; values from VASP
&SYSTEM
  ibrav = 0, nat = 11, ntyp = 3
/
ATOMIC_SPECIES
Np 237.00 Np.upf
Tl 204.38 Tl.upf
Cl 35.45 Cl.upf
CELL_PARAMETERS angstrom
6.768 -3.305 0.000
6.768 3.305 0.000
-0.204 0.000 8.990
ATOMIC_POSITIONS crystal
Np 0.000 0.000 0.000
Tl 0.140 0.140 0.495
Tl 0.860 0.860 0.505
Cl 0.166 0.166 0.127
Cl 0.198 0.688 0.179
Cl 0.312 0.802 0.821
Cl 0.342 0.342 0.532
Cl 0.658 0.658 0.468
Cl 0.688 0.198 0.179
Cl 0.802 0.312 0.821
Cl 0.834 0.834 0.873
! E_form (uncorrected) in meV/atom: -1143
! Crystal system: monoclinic
! Offset from the most stable computed form in kJ/mol of atoms: 1.7

---

! Np2Tl3Cl9, relaxed, DFT PBE; values from VASP
&SYSTEM
  ibrav = 0, nat = 28, ntyp = 3
/
ATOMIC_SPECIES
Np 237.00 Np.upf
Tl 204.38 Tl.upf
Cl 35.45 Cl.upf
CELL_PARAMETERS angstrom
6.631 3.828 6.034
-6.631 3.828 6.034
0.000 -7.657 6.034
ATOMIC_POSITIONS crystal
Np 0.143 0.143 0.143
Np 0.357 0.357 0.357
Np 0.643 0.643 0.643
Np 0.857 0.857 0.857
Tl 0.051 0.750 0.449
Tl 0.250 0.551 0.949
Tl 0.449 0.051 0.750
Tl 0.551 0.949 0.250
Tl 0.750 0.449 0.051
Tl 0.949 0.250 0.551
Cl 0.052 0.281 0.918
Cl 0.082 0.948 0.719
Cl 0.098 0.402 0.250
Cl 0.219 0.448 0.582
Cl 0.250 0.098 0.402
Cl 0.281 0.918 0.052
Cl 0.402 0.250 0.098
Cl 0.418 0.781 0.552
Cl 0.448 0.582 0.219
Cl 0.552 0.418 0.781
Cl 0.582 0.219 0.448
Cl 0.598 0.750 0.902
Cl 0.719 0.082 0.948
Cl 0.750 0.902 0.598
Cl 0.781 0.552 0.418
Cl 0.902 0.598 0.750
Cl 0.918 0.052 0.281
Cl 0.948 0.719 0.082
! E_form (uncorrected) in meV/atom: -1395
! Crystal system: trigonal

---

! NpTlCl5, relaxed, DFT PBE; values from VASP
&SYSTEM
  ibrav = 0, nat = 14, ntyp = 3
/
ATOMIC_SPECIES
Np 237.00 Np.upf
Tl 204.38 Tl.upf
Cl 35.45 Cl.upf
CELL_PARAMETERS angstrom
6.196 -4.372 0.000
6.196 4.372 0.000
-4.321 0.000 9.664
ATOMIC_POSITIONS crystal
Np 0.000 0.000 0.000
Np 0.000 0.000 0.500
Tl 0.466 0.534 0.750
Tl 0.534 0.466 0.250
Cl 0.072 0.928 0.750
Cl 0.136 0.296 0.619
Cl 0.222 0.657 0.009
Cl 0.296 0.136 0.119
Cl 0.343 0.778 0.491
Cl 0.657 0.222 0.509
Cl 0.704 0.864 0.881
Cl 0.778 0.343 0.991
Cl 0.864 0.704 0.381
Cl 0.928 0.072 0.250
! E_form (uncorrected) in meV/atom: -1468
! Crystal system: monoclinic

---

! NpTl4Cl6, relaxed, DFT PBE; values from VASP
&SYSTEM
  ibrav = 0, nat = 22, ntyp = 3
/
ATOMIC_SPECIES
Np 237.00 Np.upf
Tl 204.38 Tl.upf
Cl 35.45 Cl.upf
CELL_PARAMETERS angstrom
8.568 0.000 0.000
0.000 8.568 0.000
0.000 0.000 9.960
ATOMIC_POSITIONS crystal
Np 0.000 0.000 0.000
Np 0.500 0.500 0.500
Tl 0.153 0.347 0.250
Tl 0.153 0.347 0.750
Tl 0.347 0.847 0.250
Tl 0.347 0.847 0.750
Tl 0.653 0.153 0.250
Tl 0.653 0.153 0.750
Tl 0.847 0.653 0.250
Tl 0.847 0.653 0.750
Cl 0.000 0.000 0.278
Cl 0.000 0.000 0.722
Cl 0.131 0.705 0.000
Cl 0.205 0.631 0.500
Cl 0.295 0.131 0.000
Cl 0.369 0.205 0.500
Cl 0.500 0.500 0.222
Cl 0.500 0.500 0.778
Cl 0.631 0.795 0.500
Cl 0.705 0.869 0.000
Cl 0.795 0.369 0.500
Cl 0.869 0.295 0.000
! E_form (uncorrected) in meV/atom: -1091
! Crystal system: tetragonal

---

! Np2TlCl11, relaxed, DFT PBE; values from VASP
&SYSTEM
  ibrav = 0, nat = 28, ntyp = 3
/
ATOMIC_SPECIES
Np 237.00 Np.upf
Tl 204.38 Tl.upf
Cl 35.45 Cl.upf
CELL_PARAMETERS angstrom
-6.149 6.182 6.921
6.149 -6.182 6.921
6.149 6.182 -6.921
ATOMIC_POSITIONS crystal
Np 0.156 0.155 0.311
Np 0.344 0.655 0.999
Np 0.656 0.345 0.001
Np 0.844 0.845 0.689
Tl 0.250 0.750 0.500
Tl 0.750 0.250 0.500
Cl 0.000 0.000 0.000
Cl 0.072 0.870 0.686
Cl 0.115 0.424 0.796
Cl 0.129 0.924 0.310
Cl 0.184 0.387 0.314
Cl 0.202 0.794 0.996
Cl 0.298 0.294 0.592
Cl 0.316 0.630 0.202
Cl 0.371 0.681 0.796
Cl 0.385 0.181 0.310
Cl 0.428 0.113 0.798
Cl 0.500 0.500 0.000
Cl 0.572 0.887 0.202
Cl 0.615 0.819 0.690
Cl 0.629 0.319 0.204
Cl 0.684 0.370 0.798
Cl 0.702 0.706 0.408
Cl 0.798 0.206 0.004
Cl 0.816 0.613 0.686
Cl 0.871 0.076 0.690
Cl 0.885 0.576 0.204
Cl 0.928 0.130 0.314
! E_form (uncorrected) in meV/atom: -1378
! Crystal system: orthorhombic

---

These records have N(E_F) values of 6.5, 5.0, 5.5, 7.1, 8.4, 13.5, 23.8, 5.8, 9.7, 21.9, 12.5, 8.9, 13.7, 8.6, 9.5, 5.1, 12.5, 15.1 states/eV/f.u., in the order they appear.
These records have calculated total energy values of -4.314, -4.613, -4.599, -4.363, -4.681, -5.472, -3.694, -4.433, -4.078, -5.853, -5.681, -4.110, -5.325, -4.092, -4.938, -4.974, -4.135, -4.847 eV/atom, in the order they appear.
These records have calculated density values of 4.46, 4.46, 4.43, 4.73, 3.82, 5.46, 4.43, 5.12, 5.13, 4.69, 4.65, 3.83, 5.46, 3.84, 5.08, 3.92, 5.76, 3.37 g/cm³, in the order they appear.